Ac3ZnP2N6 | PBE | optimized geometry Values from VASP.

The structure in Quantum ESPRESSO input format:
```
&SYSTEM
  ibrav = 0, nat = 12, ntyp = 4
/
ATOMIC_SPECIES
N 14.01 N.upf
Ac 227.00 Ac.upf
P 30.97 P.upf
Zn 65.41 Zn.upf
ATOMIC_POSITIONS crystal
N 0.6468 0.8234 0.2945
N 0.1766 0.8234 0.2945
N 0.8234 0.6468 0.7055
N 0.3532 0.1766 0.7055
N 0.1766 0.3532 0.2945
N 0.8234 0.1766 0.7055
Ac 0.0000 0.0000 0.0000
Ac 0.3333 0.6667 0.6568
Ac 0.6667 0.3333 0.3432
P 0.3333 0.6667 0.2050
P 0.6667 0.3333 0.7950
Zn 0.0000 0.0000 0.5000
CELL_PARAMETERS angstrom
-0.2507 4.9561 -2.8482
-4.7936 -2.9430 1.0481
-0.7470 3.2608 5.7397
```

Properties
* E_form (uncorrected): -0.844 eV/atom

SmBeAl2Pd4 | PBE | optimized geometry Values from VASP.

The structure in Quantum ESPRESSO input format:
```
&SYSTEM
  ibrav = 0, nat = 8, ntyp = 4
/
ATOMIC_SPECIES
Al 26.98 Al.upf
Pd 106.42 Pd.upf
Be 9.01 Be.upf
Sm 150.36 Sm.upf
ATOMIC_POSITIONS crystal
Al 0.7628 0.7628 0.7115
Al 0.2372 0.2372 0.2885
Pd 0.5926 0.5926 0.2221
Pd 0.8640 0.8640 0.4079
Pd 0.1360 0.1360 0.5921
Pd 0.4074 0.4074 0.7779
Be 0.5000 0.5000 0.5000
Sm 0.0000 0.0000 0.0000
CELL_PARAMETERS angstrom
4.2418 0.0000 0.0000
2.1209 3.6735 0.0000
2.1209 1.2245 8.5256
```

Properties
* formation energy: -0.790 eV per atom

CrW4Se | PBE | optimized geometry Values from VASP.

The structure in Quantum ESPRESSO input format:
```
&SYSTEM
  ibrav = 0, nat = 6, ntyp = 3
/
ATOMIC_SPECIES
Cr 52.00 Cr.upf
W 183.84 W.upf
Se 78.96 Se.upf
ATOMIC_POSITIONS crystal
Cr 0.2500 0.2500 0.2500
W 0.1246 0.6251 0.6251
W 0.6251 0.1246 0.6251
W 0.6251 0.6251 0.6251
W 0.6251 0.6251 0.1246
Se 0.0000 0.0000 0.0000
CELL_PARAMETERS angstrom
0.0000 3.7494 3.7494
3.7494 0.0000 3.7494
3.7494 3.7494 0.0000
```

Properties
* E_form (uncorrected): 0.883 eV/atom

TcNi2Os | PBE | optimized geometry Values from VASP.

The structure in Quantum ESPRESSO input format:
```
&SYSTEM
  ibrav = 0, nat = 4, ntyp = 3
/
ATOMIC_SPECIES
Os 190.23 Os.upf
Ni 58.69 Ni.upf
Tc 98.00 Tc.upf
ATOMIC_POSITIONS crystal
Os 0.5000 0.5000 0.5000
Ni 0.0000 0.0000 0.0000
Ni 0.2500 0.2500 0.2500
Tc 0.7500 0.7500 0.7500
CELL_PARAMETERS angstrom
4.1903 0.0000 0.0000
2.0951 3.6289 0.0000
2.0951 1.2096 3.4213
```

Properties
* formation energy: 0.255 eV per atom

Number 1: electronic total energy -84.5 eV per cell, density 7.87 Mg/m³. Number 2: electronic total energy -43.0 eV per cell, density 7.99 Mg/m³. Number 3: electronic total energy -59.6 eV per cell, density 13.65 Mg/m³. Number 4: electronic total energy -32.1 eV per cell, density 12.95 Mg/m³.